DFT (GGA-PBE) results for crystalline Cs3TmO3 at its relaxed geometry.

Calculated values
Energy relative to the lowest polymorph listed for this composition: 0.0 meV per atom

```
Cs3TmO3
1.0
-6.263 0.537 -4.364
1.717 -7.277 -3.360
-6.293 -6.630 8.216
Cs O Tm
12 12 4
direct
0.623 0.940 0.156
0.343 0.347 0.078
0.657 0.653 0.922
0.377 0.060 0.844
0.843 0.653 0.422
0.157 0.347 0.578
0.678 0.382 0.690
0.877 0.940 0.656
0.322 0.618 0.310
0.178 0.618 0.810
0.123 0.060 0.344
0.822 0.382 0.190
0.455 0.291 0.304
0.343 0.760 0.049
0.843 0.240 0.451
0.045 0.291 0.804
0.945 0.892 0.917
0.157 0.760 0.549
0.657 0.240 0.951
0.055 0.108 0.083
0.545 0.709 0.696
0.555 0.892 0.417
0.955 0.709 0.196
0.445 0.108 0.583
0.588 0.153 0.430
0.088 0.847 0.070
0.412 0.847 0.570
0.912 0.153 0.930
```

***

DFT (GGA-PBE) results for crystalline Cs3TmO3 at its relaxed geometry.

Calculated values
Energy relative to the lowest polymorph listed for this composition: 10.0 meV per atom

```
Cs3TmO3
1.0
7.578 -0.032 0.004
-3.423 6.760 0.004
0.796 1.288 7.567
Cs Tm O
6 2 6
direct
0.215 0.785 0.500
0.356 0.356 0.350
0.263 0.737 0.000
0.737 0.263 0.000
0.644 0.644 0.650
0.785 0.215 0.500
0.832 0.832 0.152
0.168 0.168 0.848
0.892 0.892 0.867
0.159 0.427 0.733
0.841 0.573 0.267
0.108 0.108 0.133
0.573 0.841 0.267
0.427 0.159 0.733
```

***

DFT (GGA-PBE) results for crystalline Cs5Tm2O5 at its relaxed geometry.

Calculated values
E_tot: -61.9 eV for the cell shown

```
Cs5Tm2O5
1.0
3.903 0.000 0.747
1.286 7.918 3.851
-0.628 2.549 13.857
O Cs Tm
5 5 2
direct
0.000 0.000 0.000
0.833 0.194 0.141
0.466 0.821 0.247
0.167 0.806 0.859
0.534 0.179 0.753
0.358 0.338 0.946
0.721 0.858 0.700
0.642 0.662 0.054
0.500 0.500 0.500
0.279 0.142 0.300
0.051 0.069 0.829
0.949 0.931 0.171
```

***

DFT (GGA-PBE) results for crystalline Cs3TmU2O9 at its relaxed geometry.

Calculated values
E_tot: -116.3 eV for the cell shown

```
Cs3TmU2O9
1.0
-3.386 4.490 -2.650
2.655 -4.381 -3.523
-6.236 -4.311 0.663
Cs O U Tm
3 9 2 1
direct
0.333 0.667 0.663
0.667 0.333 0.337
0.000 0.000 0.000
0.825 0.649 0.677
0.000 0.500 0.000
0.825 0.175 0.677
0.649 0.825 0.323
0.351 0.175 0.677
0.175 0.351 0.323
0.500 0.500 0.000
0.500 0.000 0.000
0.175 0.825 0.323
0.667 0.333 0.831
0.333 0.667 0.169
0.000 0.000 0.500
```

***

| no. | calculated density (Mg/m³) | spin magnetization (Bohr magnetons per cell) |
| --- | --- | --- |
| 1 | 5.33 | 0.32 |
| 2 | 5.29 | 0.27 |
| 3 | 4.54 | 0.00 |
| 4 | 7.74 | 0.00 |